A plane-wave DFT calculation with GGA-PBE was carried out for crystalline Er12Cu6Ru at its relaxed geometry.

```
Er12Cu6Ru
1.0
6.0718 3.5056 3.9227
-6.0718 3.5056 3.9227
0.0000 -7.0112 3.9227
Er Cu Ru
12 6 1
Direct
0.0341 0.6787 0.9162
0.0838 0.9659 0.3213
0.1890 0.4164 0.5667
0.3213 0.0838 0.9659
0.4164 0.5667 0.1890
0.4333 0.8110 0.5836
0.5667 0.1890 0.4164
0.5836 0.4333 0.8110
0.6787 0.9162 0.0341
0.8110 0.5836 0.4333
0.9162 0.0341 0.6787
0.9659 0.3213 0.0838
0.1278 0.6262 0.3128
0.3128 0.1278 0.6262
0.3738 0.6872 0.8722
0.6262 0.3128 0.1278
0.6872 0.8722 0.3738
0.8722 0.3738 0.6872
0.0000 0.0000 0.0000
```

Results
Magnetic moment = 0.0 μB per cell
Formation energy = -0.5 eV/f.u.
Density = 8.3 g/cm3
Space group = R-3 (148)